[1]
A plane-wave DFT calculation with PBE-GGA was carried out for a relaxed structure of PaBeIr.

CIF file:
```
data_PaBeIr
_chemical_formula_sum 'Pa4 Be4 Ir4'
_space_group_name_H-M_alt 'F -4 3 m'
_space_group_IT_number 216
_space_group_name_Hall 'F -4 2 3'
_cell_length_a 6.286
_cell_length_b 6.286
_cell_length_c 6.286
_cell_angle_alpha 90.00
_cell_angle_beta 90.00
_cell_angle_gamma 90.00
loop_
_atom_site_label
_atom_site_fract_x
_atom_site_fract_y
_atom_site_fract_z
Pa1 0.000 0.000 0.000
Be1 0.000 0.000 0.500
Ir1 0.250 0.250 0.250
```



[2]
A plane-wave DFT calculation with PBE-GGA was carried out for a relaxed structure of LaInPt.

CIF file:
```
data_LaInPt
_chemical_formula_sum 'La3 In3 Pt3'
_space_group_name_H-M_alt 'P -6 2 m'
_space_group_IT_number 189
_space_group_name_Hall 'P -6 -2'
_cell_length_a 7.3176
_cell_length_b 7.3176
_cell_length_c 4.6670
_cell_angle_alpha 90.00
_cell_angle_beta 90.00
_cell_angle_gamma 120.00
loop_
_atom_site_label
_atom_site_fract_x
_atom_site_fract_y
_atom_site_fract_z
La1 0.0000 0.5586 0.0000
In1 0.0000 0.0000 0.0000
In2 0.3333 0.6667 0.5000
Pt1 0.0000 0.2354 0.5000
```



[3]
A plane-wave DFT calculation with PBE-GGA was carried out for a relaxed structure of Th6BiSb5.

CIF file:
```
data_Th6BiSb5
_chemical_formula_sum 'Th12 Bi2 Sb10'
_space_group_name_H-M_alt 'C 1 2/m 1'
_space_group_IT_number 12
_cell_length_a 7.818
_cell_length_b 13.578
_cell_length_c 7.838
_cell_angle_alpha 90.00
_cell_angle_beta 109.54
_cell_angle_gamma 90.00
loop_
_space_group_symop_operation_xyz
'x,y,z'
'-x,-y,-z'
'-x,y,-z'
'x,-y,z'
'x+1/2,y+1/2,z'
'-x+1/2,-y+1/2,-z'
'-x+1/2,y+1/2,-z'
'x+1/2,-y+1/2,z'
loop_
_atom_site_label
_atom_site_fract_x
_atom_site_fract_y
_atom_site_fract_z
Th1 0.244 0.000 0.252
Th2 0.245 0.170 0.745
Bi1 0.000 0.500 0.000
Sb1 0.000 0.000 0.500
Sb2 0.000 0.168 0.000
Sb3 0.000 0.337 0.500
```



[4]
A plane-wave DFT calculation with PBE-GGA was carried out for a relaxed structure of Ho3Bi2P.

CIF file:
```
data_Ho3Bi2P
_chemical_formula_sum 'Ho3 Bi2 P1'
_space_group_name_H-M_alt 'P -3 m 1'
_space_group_IT_number 164
_space_group_name_Hall '-P 3 2"'
_cell_length_a 4.2497
_cell_length_b 4.2497
_cell_length_c 10.7307
_cell_angle_alpha 90.00
_cell_angle_beta 90.00
_cell_angle_gamma 120.00
loop_
_atom_site_label
_atom_site_fract_x
_atom_site_fract_y
_atom_site_fract_z
Ho1 0.0000 0.0000 0.0000
Ho2 0.3333 0.6667 0.3605
Bi1 0.3333 0.6667 0.8222
P1 0.0000 0.0000 0.5000
```



| no. | total DFT energy (no corrections) (eV per atom) |
| --- | --- |
| 1 | -7.491 |
| 2 | -5.242 |
| 3 | -6.614 |
| 4 | -5.603 |